DFT (GGA-PBE) results for crystalline LaZr2TaRe at its relaxed geometry.

Summary:
DOS(E_F) ... 7.34 states/eV/f.u.
Symmetry ... No. 123
Energy ... -8.210 eV per atom

Unit cell a=5.1034 b=5.1034 c=5.2738 alpha=90.00 beta=90.00 gamma=90.00
Closest atoms and distances in Å follow each position.
Element x y z (fractional)
1 La 0.0000 0.0000 0.0000  2 Re 2.64
2 Zr 0.0000 0.5000 0.5000  2 Re 2.55
3 Zr 0.5000 0.0000 0.5000  2 Re 2.55
4 Ta 0.5000 0.5000 0.0000  4 La 3.61, 8 Zr 3.67
5 Re 0.0000 0.0000 0.5000  4 Zr 2.55, 2 La 2.64



DFT (GGA-PBE) results for crystalline LiTbAg4 at its relaxed geometry.

Summary:
DOS(E_F) ... 2.80 states/eV/f.u.
Symmetry ... No. 12
Energy relative to the lowest polymorph listed for this composition ... 0 meV/atom

Unit cell a=5.2121 b=5.2121 c=5.1351 alpha=95.11 beta=95.11 gamma=120.18
Closest atoms and distances in Å follow each position.
Element x y z (fractional)
1 Li 0.0000 0.0000 0.0000  10 Ag 2.91-3.06
2 Tb 0.5000 0.5000 0.5000  10 Ag 2.99-3.03, 2 Li 3.31
3 Ag 0.1645 0.8355 0.5000  5 Ag 2.93-3.02, 2 Li 2.97, 3 Tb 2.99-3.03
4 Ag 0.3217 0.6783 0.0000  5 Ag 2.90-3.22, 3 Li 2.91-3.06, 2 Tb 3.03
5 Ag 0.6783 0.3217 0.0000  5 Ag 2.90-3.22, 3 Li 2.91-3.06, 2 Tb 3.03
6 Ag 0.8355 0.1645 0.5000  5 Ag 2.93-3.02, 2 Li 2.97, 3 Tb 2.99-3.03



DFT (GGA-PBE) results for crystalline PuU4Ga15 at its relaxed geometry.

Summary:
DOS(E_F) ... 29.46 states/eV/f.u.
Symmetry ... No. 123
Energy ... -5.504 eV per atom

Unit cell a=4.2619 b=4.2619 c=21.3948 alpha=90.00 beta=90.00 gamma=90.00
Closest atoms and distances in Å follow each position.
Element x y z (fractional)
1 Pu 0.0000 0.0000 0.0000  12 Ga 3.01-3.02
2 U 0.0000 0.0000 0.2002  12 Ga 3.01-3.02
3 U 0.0000 0.0000 0.4003  12 Ga 3.01-3.02
4 U 0.0000 0.0000 0.5997  12 Ga 3.01-3.02
5 U 0.0000 0.0000 0.7998  12 Ga 3.01-3.02
6 Ga 0.0000 0.5000 0.1003  8 Ga 3.01-3.02, 2 U 3.02, 2 Pu 3.02
7 Ga 0.0000 0.5000 0.3003  8 Ga 3.01-3.02, 4 U 3.02
8 Ga 0.0000 0.5000 0.5000  8 Ga 3.01-3.02, 4 U 3.02
9 Ga 0.0000 0.5000 0.6997  8 Ga 3.01-3.02, 4 U 3.02
10 Ga 0.0000 0.5000 0.8997  8 Ga 3.01-3.02, 2 U 3.02, 2 Pu 3.02
11 Ga 0.5000 0.0000 0.1003  8 Ga 3.01-3.02, 2 U 3.02, 2 Pu 3.02
12 Ga 0.5000 0.0000 0.3003  8 Ga 3.01-3.02, 4 U 3.02
13 Ga 0.5000 0.0000 0.5000  8 Ga 3.01-3.02, 4 U 3.02
14 Ga 0.5000 0.0000 0.6997  8 Ga 3.01-3.02, 4 U 3.02
15 Ga 0.5000 0.0000 0.8997  8 Ga 3.01-3.02, 2 U 3.02, 2 Pu 3.02
16 Ga 0.5000 0.5000 0.0000  4 Pu 3.01, 8 Ga 3.02
17 Ga 0.5000 0.5000 0.2001  4 U 3.01, 8 Ga 3.02
18 Ga 0.5000 0.5000 0.4002  4 U 3.01, 8 Ga 3.02
19 Ga 0.5000 0.5000 0.5998  4 U 3.01, 8 Ga 3.02
20 Ga 0.5000 0.5000 0.7999  4 U 3.01, 8 Ga 3.02



DFT (GGA-PBE) results for crystalline NaNbTlI6 at its relaxed geometry.

Summary:
DOS(E_F) ... 6.36 states/eV/f.u.
Formation energy (no corrections) ... -0.6313 eV per atom
Symmetry ... No. 163

Unit cell a=7.9548 b=7.9548 c=14.2586 alpha=90.00 beta=90.00 gamma=120.00
Closest atoms and distances in Å follow each position.
Element x y z (fractional)
1 Na 0.3333 0.6667 0.2500  6 I 3.21
2 Na 0.6667 0.3333 0.7500  6 I 3.21
3 Nb 0.3333 0.6667 0.7500  6 I 2.82
4 Nb 0.6667 0.3333 0.2500  6 I 2.82
5 Tl 0.0000 0.0000 0.0000  6 I 3.51
6 Tl 0.0000 0.0000 0.5000  6 I 3.51
7 I 0.0369 0.3865 0.6346  1 Nb 2.82
8 I 0.0369 0.6504 0.8654  1 Nb 2.82
9 I 0.3496 0.3865 0.8654  1 Nb 2.82
10 I 0.3496 0.9631 0.6346  1 Nb 2.82
11 I 0.3865 0.0369 0.1346  1 Nb 2.82
12 I 0.3865 0.3496 0.3654  1 Nb 2.82
13 I 0.6135 0.6504 0.6346  1 Nb 2.82
14 I 0.6135 0.9631 0.8654  1 Nb 2.82
15 I 0.6504 0.0369 0.3654  1 Nb 2.82
16 I 0.6504 0.6135 0.1346  1 Nb 2.82
17 I 0.9631 0.3496 0.1346  1 Nb 2.82
18 I 0.9631 0.6135 0.3654  1 Nb 2.82